Entry 1:
DFT (GGA-PBE) results for an optimized crystal structure of Sb2AsIr.

Unit cell a=3.891 b=3.891 c=7.114 alpha=106.16 beta=106.16 gamma=60.38
Sites, in units of the cell vectors:
1 Sb 0.242 0.242 0.224
2 Sb 0.758 0.758 0.776
3 As 0.000 0.000 0.500
4 Ir 0.500 0.500 0.000

## Properties
**Electronic total energy**: -5.3804 eV/atom
**Energy relative to the elements, uncorrected**: 0.06 eV/atom
**Space group**: No. 12
**Volume**: 89 Å³/f.u.
**Relative energy among the computed polymorphs**: 103.0 meV/atom


Entry 2:
DFT (GGA-PBE) results for an optimized crystal structure of Sr3UAs4.

Unit cell a=7.599 b=8.765 c=7.518 alpha=90.00 beta=109.83 gamma=90.00
Sites, in units of the cell vectors:
1 Sr 0.000 0.120 0.250
2 Sr 0.000 0.377 0.750
3 Sr 0.000 0.623 0.250
4 Sr 0.000 0.880 0.750
5 Sr 0.500 0.123 0.750
6 Sr 0.500 0.877 0.250
7 U 0.500 0.373 0.250
8 U 0.500 0.627 0.750
9 As 0.269 0.152 0.027
10 As 0.269 0.848 0.527
11 As 0.293 0.396 0.498
12 As 0.293 0.604 0.998
13 As 0.707 0.396 0.002
14 As 0.707 0.604 0.502
15 As 0.731 0.152 0.473
16 As 0.731 0.848 0.973

## Properties
**Electronic total energy**: -5.4001 eV/atom
**Energy relative to the elements**: -1.03 eV/atom
**Space group**: No. 13
**Volume**: 236 Å³/f.u.